1.
The following is a PBE calculation of Dy2ErTmMg2 after structural relaxation, from OQMD via LeMat-Bulk.

Unit cell a=5.437 b=3.632 c=17.131 alpha=90.00 beta=90.00 gamma=90.00
Space group Amm2 (No. 38)
Inequivalent atoms, fractional coordinates:
Dy 0.000 0.000 0.000 x2
Dy 0.500 0.000 0.187 x2
Er 0.000 0.000 0.320 x2
Tm 0.500 0.000 0.867 x2
Mg 0.000 0.000 0.659 x2
Mg 0.500 0.000 0.528 x2

Calculated values
Uncorrected energy (eV per atom): -3.61



2.
The following is a PBE calculation of NdZrFe after structural relaxation, from OQMD via LeMat-Bulk.

Unit cell a=6.573 b=6.573 c=6.573 alpha=90.00 beta=90.00 gamma=90.00
Space group F-43m (No. 216)
Inequivalent atoms, fractional coordinates:
Nd 0.000 0.000 0.000 x4
Zr 0.250 0.250 0.250 x4
Fe 0.250 0.250 0.750 x4

Calculated values
Uncorrected energy (eV per atom): -6.02
Excess energy over the best structure of this formula in the dataset (eV per atom): 0.898
ΔE_f (meV/atom): 1187



3.
The following is a PBE calculation of PaAsIrO after structural relaxation, from OQMD via LeMat-Bulk.

Unit cell a=4.029 b=4.029 c=8.275 alpha=90.00 beta=90.00 gamma=90.00
Space group P4/nmm (No. 129, origin choice 2)
Inequivalent atoms, fractional coordinates:
Pa 0.250 0.250 0.162 x2
As 0.250 0.250 0.677 x2
Ir 0.250 0.750 0.500 x2
O 0.250 0.750 0.000 x2

Calculated values
Uncorrected energy (eV per atom): -8.25
Excess energy over the best structure of this formula in the dataset (eV per atom): 0.000



4.
The following is a PBE calculation of KAuNO after structural relaxation, from OQMD via LeMat-Bulk.

Unit cell a=5.513 b=6.338 c=9.151 alpha=90.00 beta=91.47 gamma=90.00
Space group C2/m (No. 12)
Inequivalent atoms, fractional coordinates:
K 0.244 0.000 0.336 x4
Au 0.000 0.252 0.000 x4
N 0.245 0.000 0.943 x4
O 0.000 0.249 0.500 x4

Calculated values
Uncorrected energy (eV per atom): -3.72
Excess energy over the best structure of this formula in the dataset (eV per atom): 0.386



5.
The following is a PBE calculation of TbYBe after structural relaxation, from OQMD via LeMat-Bulk.

Unit cell a=6.742 b=6.742 c=6.742 alpha=90.00 beta=90.00 gamma=90.00
Space group F-43m (No. 216)
Inequivalent atoms, fractional coordinates:
Tb 0.000 0.000 0.000 x4
Y 0.250 0.250 0.750 x4
Be 0.000 0.000 0.500 x4

Calculated values
Uncorrected energy (eV per atom): -3.97



6.
The following is a PBE calculation of Nb2S5 after structural relaxation, from OQMD via LeMat-Bulk.

Unit cell a=15.071 b=6.310 c=6.659 alpha=90.00 beta=104.37 gamma=90.00
Space group C2/c (No. 15)
Inequivalent atoms, fractional coordinates:
Nb 0.143 0.222 0.340 x8
S 0.000 0.414 0.250 x4
S 0.103 0.085 0.967 x8
S 0.200 0.402 0.657 x8

Calculated values
Uncorrected energy (eV per atom): -6.49